#w
{
  "formula": "LiZnN2F",
  "functional": "PBE",
  "state": "optimized geometry",
  "n_ef_per_ev_fu": 1.8,
  "sg": "P4/mmm",
  "cell": [[-1.163, 2.970, 2.432], [-2.565, -2.492, 1.816], [2.438, -0.878, 2.239]],
  "species": ["N", "N", "Li", "Zn", "F"],
  "frac_coords": [[0.500, 0.000, 0.000], [0.000, 0.500, 0.000], [0.000, 0.000, 0.000], [0.500, 0.500, 0.500], [0.000, 0.000, 0.500]]
}


#x
{
  "formula": "LiZnN2F",
  "functional": "PBE",
  "state": "optimized geometry",
  "n_ef_per_ev_fu": 2.2,
  "sg": "P4/mmm",
  "cell": [[3.900, 0.000, 0.000], [0.000, 3.900, 0.000], [0.000, 0.000, 4.354]],
  "species": ["F", "Li", "N", "N", "Zn"],
  "frac_coords": [[0.000, 0.000, 0.500], [0.500, 0.500, 0.500], [0.000, 0.500, 0.000], [0.500, 0.000, 0.000], [0.000, 0.000, 0.000]]
}


Which is most stable, and by how much? #x, by 0.385 eV/atom.


#w
{
  "formula": "LiZnNF2",
  "functional": "PBE",
  "state": "optimized geometry",
  "n_ef_per_ev_fu": 1.4,
  "sg": "P4/mmm",
  "cell": [[-1.351, -0.778, -3.196], [0.846, -3.421, 0.476], [-3.708, -0.676, 1.732]],
  "species": ["F", "F", "Zn", "Li", "N"],
  "frac_coords": [[0.500, 0.000, 0.000], [0.000, 0.500, 0.000], [0.500, 0.500, 0.500], [0.000, 0.000, 0.000], [0.000, 0.000, 0.500]]
}


#x
{
  "formula": "LiZnNF2",
  "functional": "PBE",
  "state": "optimized geometry",
  "n_ef_per_ev_fu": 1.0,
  "sg": "P4/mmm",
  "cell": [[4.222, 0.000, 0.000], [0.000, 4.222, 0.000], [0.000, 0.000, 3.866]],
  "species": ["Zn", "F", "F", "N", "Li"],
  "frac_coords": [[0.000, 0.000, 0.000], [0.500, 0.000, 0.000], [0.000, 0.500, 0.000], [0.000, 0.000, 0.500], [0.500, 0.500, 0.500]]
}


Which is most stable, and by how much? #x, by 0.301 eV/atom.


#w
{
  "formula": "LiZrN2F",
  "functional": "PBE",
  "state": "optimized geometry",
  "n_ef_per_ev_fu": 2.6,
  "sg": "P4/mmm",
  "cell": [[4.194, 0.000, 0.000], [0.000, 4.194, 0.000], [0.000, 0.000, 4.292]],
  "species": ["N", "N", "Li", "Zr", "F"],
  "frac_coords": [[0.000, 0.500, 0.000], [0.500, 0.000, 0.000], [0.500, 0.500, 0.500], [0.000, 0.000, 0.000], [0.000, 0.000, 0.500]]
}


#x
{
  "formula": "LiZrN2F",
  "functional": "PBE",
  "state": "optimized geometry",
  "n_ef_per_ev_fu": 2.1,
  "sg": "P4/mmm",
  "cell": [[-0.220, -1.415, 3.379], [3.447, 1.067, 0.671], [-1.171, 3.035, 1.194]],
  "species": ["N", "N", "Zr", "Li", "F"],
  "frac_coords": [[0.000, 0.500, 0.000], [0.500, 0.000, 0.000], [0.500, 0.500, 0.500], [0.000, 0.000, 0.000], [0.000, 0.000, 0.500]]
}


Which is most stable, and by how much? #w, by 0.279 eV/atom.


#w
{
  "formula": "NaLi3F",
  "functional": "PBE",
  "state": "optimized geometry",
  "n_ef_per_ev_fu": 3.2,
  "sg": "Pm-3m",
  "cell": [[4.476, 0.000, 0.000], [0.000, 4.476, 0.000], [0.000, 0.000, 4.476]],
  "species": ["F", "Na", "Li", "Li", "Li"],
  "frac_coords": [[0.000, 0.000, 0.000], [0.500, 0.500, 0.500], [0.000, 0.500, 0.000], [0.500, 0.000, 0.000], [0.000, 0.000, 0.500]]
}


#x
{
  "formula": "NaLi3F",
  "functional": "PBE",
  "state": "optimized geometry",
  "n_ef_per_ev_fu": 3.1,
  "sg": "Pm-3m",
  "cell": [[5.262, 0.000, 0.000], [0.000, 5.262, 0.000], [0.000, 0.000, 5.262]],
  "species": ["F", "Li", "Li", "Li", "Na"],
  "frac_coords": [[0.500, 0.500, 0.500], [0.000, 0.000, 0.500], [0.000, 0.500, 0.000], [0.500, 0.000, 0.000], [0.000, 0.000, 0.000]]
}


Which is most stable, and by how much? #w, by 0.921 eV/atom.


#w
{
  "formula": "Na2Li2F",
  "functional": "PBE",
  "state": "optimized geometry",
  "n_ef_per_ev_fu": 1.7,
  "sg": "P4/mbm",
  "cell": [[-0.883, 5.957, 1.581], [-6.044, -0.524, -1.401], [-1.243, -1.785, 6.029]],
  "species": ["Li", "Li", "Li", "Li", "F", "F", "Na", "Na", "Na", "Na"],
  "frac_coords": [[0.673, 0.827, 0.500], [0.173, 0.673, 0.500], [0.327, 0.173, 0.500], [0.827, 0.327, 0.500], [0.000, 0.000, 0.000], [0.500, 0.500, 0.000], [0.796, 0.704, 0.000], [0.296, 0.796, 0.000], [0.204, 0.296, 0.000], [0.704, 0.204, 0.000]]
}


#x
{
  "formula": "Na2Li2F",
  "functional": "PBE",
  "state": "optimized geometry",
  "n_ef_per_ev_fu": 1.7,
  "sg": "I4/mmm",
  "cell": [[3.394, 0.000, 0.000], [0.000, 3.394, 0.000], [1.697, 1.697, 8.683]],
  "species": ["Li", "Li", "F", "Na", "Na"],
  "frac_coords": [[0.250, 0.750, 0.500], [0.750, 0.250, 0.500], [0.000, 0.000, 0.000], [0.582, 0.582, 0.837], [0.418, 0.418, 0.163]]
}


Which is most stable, and by how much? #w, by 0.046 eV/atom.


#w
{
  "formula": "NaLiF3",
  "functional": "PBE",
  "state": "optimized geometry",
  "n_ef_per_ev_fu": 2.3,
  "sg": "Pbam",
  "cell": [[-2.545, -1.126, -3.200], [4.004, -2.066, -2.458], [-0.911, -4.521, 2.315]],
  "species": ["F", "F", "F", "F", "F", "F", "Na", "Na", "Li", "Li"],
  "frac_coords": [[0.000, 0.861, 0.860], [0.500, 0.000, 0.500], [0.000, 0.139, 0.140], [0.000, 0.361, 0.640], [0.500, 0.500, 0.000], [0.000, 0.639, 0.360], [0.500, 0.500, 0.500], [0.500, 0.000, 0.000], [0.000, 0.000, 0.500], [0.000, 0.500, 0.000]]
}


#x
{
  "formula": "NaLiF3",
  "functional": "PBE",
  "state": "optimized geometry",
  "n_ef_per_ev_fu": 6.2,
  "sg": "Pm-3m",
  "cell": [[-3.085, 2.182, 0.736], [-1.840, -1.597, -2.981], [-1.384, -2.741, 2.322]],
  "species": ["F", "F", "F", "Li", "Na"],
  "frac_coords": [[0.000, 0.000, 0.500], [0.500, 0.000, 0.000], [0.000, 0.500, 0.000], [0.000, 0.000, 0.000], [0.500, 0.500, 0.500]]
}


Which is most stable, and by how much? #w, by 0.045 eV/atom.


#w
{
  "formula": "NaLiF3",
  "functional": "PBE",
  "state": "optimized geometry",
  "n_ef_per_ev_fu": 12.0,
  "sg": "Pm-3m",
  "cell": [[-2.709, 1.408, 2.982], [-0.151, -3.908, 1.709], [3.295, 0.979, 2.531]],
  "species": ["F", "F", "F", "Li", "Na"],
  "frac_coords": [[0.000, 0.500, 0.000], [0.500, 0.000, 0.000], [0.000, 0.000, 0.500], [0.500, 0.500, 0.500], [0.000, 0.000, 0.000]]
}


#x
{
  "formula": "NaLiF3",
  "functional": "PBE",
  "state": "optimized geometry",
  "n_ef_per_ev_fu": 2.8,
  "sg": "P2_1/m",
  "cell": [[-0.951, -2.215, -3.223], [-3.613, -1.185, 1.881], [-2.971, 6.902, -1.361]],
  "species": ["F", "F", "F", "F", "F", "F", "Na", "Na", "Li", "Li"],
  "frac_coords": [[0.927, 0.450, 0.356], [0.430, 0.450, 0.356], [0.073, 0.950, 0.644], [0.570, 0.950, 0.644], [0.935, 0.450, 0.874], [0.065, 0.950, 0.126], [0.332, 0.450, 0.665], [0.668, 0.950, 0.335], [0.936, 0.949, 0.873], [0.064, 0.449, 0.127]]
}


Which is most stable, and by how much? #x, by 0.414 eV/atom.


#w
{
  "formula": "Na2LiRuF6",
  "functional": "PBE",
  "state": "optimized geometry",
  "n_ef_per_ev_fu": 10.9,
  "sg": "P2_1/c",
  "cell": [[5.450, 0.000, 0.010], [0.000, 5.648, 0.000], [0.062, 0.000, 7.831]],
  "species": ["F", "F", "F", "F", "F", "F", "F", "F", "F", "F", "F", "F", "Ru", "Ru", "Na", "Na", "Na", "Na", "Li", "Li"],
  "frac_coords": [[0.301, 0.699, 0.053], [0.693, 0.295, 0.557], [0.199, 0.199, 0.447], [0.106, 0.463, 0.753], [0.894, 0.537, 0.247], [0.307, 0.705, 0.443], [0.394, 0.963, 0.747], [0.807, 0.795, 0.943], [0.801, 0.801, 0.553], [0.606, 0.037, 0.253], [0.193, 0.205, 0.057], [0.699, 0.301, 0.947], [0.000, 0.500, 0.000], [0.500, 0.000, 0.500], [0.018, 0.940, 0.253], [0.518, 0.560, 0.753], [0.482, 0.440, 0.247], [0.982, 0.060, 0.747], [0.000, 0.500, 0.500], [0.500, 0.000, 0.000]]
}


#x
{
  "formula": "Na2LiRuF6",
  "functional": "PBE",
  "state": "optimized geometry",
  "n_ef_per_ev_fu": 9.8,
  "sg": "Fm-3m",
  "cell": [[-2.102, -4.230, -3.085], [-2.447, -4.401, 2.543], [-5.583, -0.722, -0.365]],
  "species": ["F", "F", "F", "F", "F", "F", "Ru", "Na", "Na", "Li"],
  "frac_coords": [[0.252, 0.748, 0.748], [0.252, 0.748, 0.252], [0.252, 0.252, 0.748], [0.748, 0.252, 0.748], [0.748, 0.748, 0.252], [0.748, 0.252, 0.252], [0.000, 0.000, 0.000], [0.250, 0.250, 0.250], [0.750, 0.750, 0.750], [0.500, 0.500, 0.500]]
}


Which is most stable, and by how much? #w, by 0.058 eV/atom.